{
  "formula": "NpBr4O",
  "functional": "PBE",
  "state": "optimized geometry",
  "total_energy_ha_per_atom": -0.201,
  "volume_a3_per_fu": 226.7,
  "formation_energy_uncorrected_mev_per_atom": -1358,
  "lattice": [[10.520, 0.000, 0.000], [0.000, 10.520, 0.000], [0.000, 0.000, 4.096]],
  "species": ["Np", "Np", "Br", "Br", "Br", "Br", "Br", "Br", "Br", "Br", "O", "O"],
  "fractional_positions": [[0.000, 0.000, 0.000], [0.500, 0.500, 0.500], [0.063, 0.757, 0.000], [0.243, 0.063, 0.000], [0.257, 0.437, 0.500], [0.437, 0.743, 0.500], [0.563, 0.257, 0.500], [0.743, 0.563, 0.500], [0.757, 0.937, 0.000], [0.937, 0.243, 0.000], [0.000, 0.000, 0.500], [0.500, 0.500, 0.000]]
}

---

{
  "formula": "CeHo2Tm8",
  "functional": "PBE",
  "state": "optimized geometry",
  "total_energy_ha_per_atom": -0.165,
  "volume_a3_per_fu": 339.2,
  "ef_ev_per_atom": 0.128,
  "polymorph_energy_ev_per_fu": 0.00,
  "lattice": [[-2.701, 3.980, 7.887], [2.701, -3.980, 7.887], [2.701, 3.980, -7.887]],
  "species": ["Ce", "Ho", "Ho", "Tm", "Tm", "Tm", "Tm", "Tm", "Tm", "Tm", "Tm"],
  "fractional_positions": [[0.000, 0.000, 0.000], [0.300, 0.300, 0.000], [0.700, 0.700, 0.000], [0.152, 0.861, 0.291], [0.162, 0.662, 0.500], [0.291, 0.500, 0.791], [0.430, 0.139, 0.291], [0.570, 0.861, 0.709], [0.709, 0.500, 0.209], [0.838, 0.338, 0.500], [0.848, 0.139, 0.709]]
}

---

{
  "formula": "KIr3O",
  "functional": "PBE",
  "state": "optimized geometry",
  "total_energy_ha_per_atom": -0.198,
  "volume_a3_per_fu": 79.8,
  "formation_energy_uncorrected_mev_per_atom": 1140,
  "polymorph_energy_ev_per_fu": 0.00,
  "lattice": [[4.306, 0.000, 0.000], [0.000, 4.306, 0.000], [0.000, 0.000, 4.306]],
  "species": ["K", "Ir", "Ir", "Ir", "O"],
  "fractional_positions": [[0.000, 0.000, 0.000], [0.000, 0.500, 0.500], [0.500, 0.000, 0.500], [0.500, 0.500, 0.000], [0.500, 0.500, 0.500]]
}

---

{
  "formula": "SmCdPd2",
  "functional": "PBE",
  "state": "optimized geometry",
  "total_energy_ha_per_atom": -0.172,
  "volume_a3_per_fu": 81.1,
  "ef_ev_per_atom": -0.672,
  "lattice": [[4.852, 0.000, 0.000], [0.000, 4.852, 0.000], [0.000, 0.000, 6.888]],
  "species": ["Sm", "Sm", "Cd", "Cd", "Pd", "Pd", "Pd", "Pd"],
  "fractional_positions": [[0.000, 0.000, 0.000], [0.500, 0.500, 0.500], [0.000, 0.000, 0.500], [0.500, 0.500, 0.000], [0.000, 0.500, 0.250], [0.000, 0.500, 0.750], [0.500, 0.000, 0.250], [0.500, 0.000, 0.750]]
}

---

{
  "formula": "KGa2Pb2",
  "functional": "PBE",
  "state": "optimized geometry",
  "total_energy_ha_per_atom": -0.111,
  "volume_a3_per_fu": 148.4,
  "ef_ev_per_atom": -0.101,
  "polymorph_energy_ev_per_fu": 0.00,
  "lattice": [[5.094, 0.000, 0.000], [0.000, 5.094, 0.000], [0.000, 0.000, 11.439]],
  "species": ["K", "K", "Ga", "Ga", "Ga", "Ga", "Pb", "Pb", "Pb", "Pb"],
  "fractional_positions": [[0.000, 0.000, 0.000], [0.500, 0.500, 0.500], [0.000, 0.000, 0.388], [0.000, 0.000, 0.612], [0.500, 0.500, 0.112], [0.500, 0.500, 0.888], [0.000, 0.500, 0.250], [0.000, 0.500, 0.750], [0.500, 0.000, 0.250], [0.500, 0.000, 0.750]]
}

---

{
  "formula": "Cs2CrPbBr6",
  "functional": "PBE",
  "state": "optimized geometry",
  "total_energy_ha_per_atom": -0.136,
  "volume_a3_per_fu": 363.0,
  "formation_energy_uncorrected_mev_per_atom": -1194,
  "lattice": [[0.000, 5.662, 5.662], [5.662, 0.000, 5.662], [5.662, 5.662, 0.000]],
  "species": ["Cs", "Cs", "Cr", "Pb", "Br", "Br", "Br", "Br", "Br", "Br"],
  "fractional_positions": [[0.250, 0.250, 0.250], [0.750, 0.750, 0.750], [0.000, 0.000, 0.000], [0.500, 0.500, 0.500], [0.234, 0.234, 0.766], [0.234, 0.766, 0.234], [0.234, 0.766, 0.766], [0.766, 0.234, 0.234], [0.766, 0.234, 0.766], [0.766, 0.766, 0.234]]
}

---

{
  "formula": "TiBiSe2",
  "functional": "PBE",
  "state": "optimized geometry",
  "total_energy_ha_per_atom": -0.192,
  "volume_a3_per_fu": 112.9,
  "formation_energy_uncorrected_mev_per_atom": -549,
  "lattice": [[6.182, 0.000, 0.000], [0.000, 12.874, 0.000], [-2.419, 0.000, 5.675]],
  "species": ["Ti", "Ti", "Ti", "Ti", "Bi", "Bi", "Bi", "Bi", "Se", "Se", "Se", "Se", "Se", "Se", "Se", "Se"],
  "fractional_positions": [[0.000, 0.250, 0.250], [0.000, 0.750, 0.750], [0.500, 0.250, 0.750], [0.500, 0.750, 0.250], [0.000, 0.194, 0.750], [0.000, 0.806, 0.250], [0.500, 0.306, 0.250], [0.500, 0.694, 0.750], [0.170, 0.379, 0.582], [0.170, 0.621, 0.082], [0.330, 0.121, 0.418], [0.330, 0.879, 0.918], [0.670, 0.121, 0.082], [0.670, 0.879, 0.582], [0.830, 0.379, 0.918], [0.830, 0.621, 0.418]]
}

---

{
  "formula": "NaErTl",
  "functional": "PBE",
  "state": "optimized geometry",
  "total_energy_ha_per_atom": -0.100,
  "volume_a3_per_fu": 89.0,
  "ef_ev_per_atom": 0.018,
  "polymorph_energy_ev_per_fu": 0.43,
  "lattice": [[3.764, 0.000, 0.000], [0.000, 3.764, 0.000], [0.000, 0.000, 12.566]],
  "species": ["Na", "Na", "Er", "Er", "Tl", "Tl"],
  "fractional_positions": [[0.000, 0.000, 0.000], [0.500, 0.500, 0.500], [0.000, 0.000, 0.704], [0.500, 0.500, 0.204], [0.000, 0.000, 0.344], [0.500, 0.500, 0.844]]
}